# 1
The following is a DFT calculation (GGA-PBEsol) of a relaxed La3Hg crystal.

Lattice parameters (Å, degrees): 3.8118 5.6552 11.3873 90.00 90.00 90.00
Fractional coordinates of all 8 atoms:
La 0.0000 0.0000 0.0000
La 0.0000 0.5000 0.2307
La 0.0000 0.5000 0.7693
La 0.5000 0.0000 0.2693
La 0.5000 0.0000 0.7307
La 0.5000 0.5000 0.5000
Hg 0.0000 0.0000 0.5000
Hg 0.5000 0.5000 0.0000

Computed properties:
Its space-group type is Immm (71). As for the total energy: -17.6 eV/f.u.

***

# 2
The following is a DFT calculation (GGA-PBEsol) of a relaxed LaHg7 crystal.

Lattice parameters (Å, degrees): 6.5580 6.5580 6.5580 60.00 60.00 60.00
Fractional coordinates of all 8 atoms:
La 0.0000 0.0000 0.0000
Hg 0.0000 0.0000 0.5000
Hg 0.0000 0.5000 0.0000
Hg 0.0000 0.5000 0.5000
Hg 0.5000 0.0000 0.0000
Hg 0.5000 0.0000 0.5000
Hg 0.5000 0.5000 0.0000
Hg 0.5000 0.5000 0.5000

Computed properties:
Its space-group type is Fm-3m (225). As for the total energy: -10.6 eV/f.u.

***

In order of appearance, total moment = 0.00 0.00 μB/f.u..
In order of appearance, calculated formation energy = -0.2599 -0.1625 eV per atom.